Model P:
Below is a relaxed structure of AlSn2As, with properties calculated at the PBE level.

Fermi-level density of states ... 2.8 states/eV/f.u.

Geometry as CIF:
```
data_AlSn2As
_cell_length_a 7.204
_cell_length_b 7.204
_cell_length_c 7.204
_cell_angle_alpha 90.00
_cell_angle_beta 90.00
_cell_angle_gamma 90.00
_space_group_name_H-M_alt 'F m -3 m'
_space_group_IT_number 225
_space_group_name_Hall '-F 4 2 3'
loop_
_atom_site_label
_atom_site_fract_x
_atom_site_fract_y
_atom_site_fract_z
_atom_site_occupancy
Al1 0.000 0.000 0.000 1
Sn1 0.250 0.250 0.250 1
As1 0.000 0.000 0.500 1
```

Model Q:
Below is a relaxed structure of AlSn2As, with properties calculated at the PBE level.

Fermi-level density of states ... 0.0 states/eV/f.u.

Geometry as CIF:
```
data_AlSn2As
_cell_length_a 6.257
_cell_length_b 6.257
_cell_length_c 12.545
_cell_angle_alpha 90.00
_cell_angle_beta 90.00
_cell_angle_gamma 90.00
_space_group_name_H-M_alt 'I -4 2 d'
_space_group_IT_number 122
_space_group_name_Hall 'I -4 2bw'
loop_
_atom_site_label
_atom_site_fract_x
_atom_site_fract_y
_atom_site_fract_z
_atom_site_occupancy
Al1 0.000 0.000 0.000 1
Sn1 0.247 0.250 0.125 1
As1 0.000 0.000 0.500 1
```

Of them, model P has the lowest stability.

Model P:
Below is a relaxed structure of AlSnAs3, with properties calculated at the PBE level.

Fermi-level density of states ... 5.6 states/eV/f.u.

Geometry as CIF:
```
data_AlSnAs3
_cell_length_a 5.276
_cell_length_b 5.276
_cell_length_c 5.276
_cell_angle_alpha 90.00
_cell_angle_beta 90.00
_cell_angle_gamma 90.00
_space_group_name_H-M_alt 'P m -3 m'
_space_group_IT_number 221
_space_group_name_Hall '-P 4 2 3'
loop_
_atom_site_label
_atom_site_fract_x
_atom_site_fract_y
_atom_site_fract_z
_atom_site_occupancy
Al1 0.000 0.000 0.000 1
Sn1 0.500 0.500 0.500 1
As1 0.000 0.500 0.500 1
```

Model Q:
Below is a relaxed structure of AlSnAs3, with properties calculated at the PBE level.

Fermi-level density of states ... 4.3 states/eV/f.u.

Geometry as CIF:
```
data_AlSnAs3
_cell_length_a 4.912
_cell_length_b 4.912
_cell_length_c 4.912
_cell_angle_alpha 90.00
_cell_angle_beta 90.00
_cell_angle_gamma 90.00
_space_group_name_H-M_alt 'P m -3 m'
_space_group_IT_number 221
_space_group_name_Hall '-P 4 2 3'
loop_
_atom_site_label
_atom_site_fract_x
_atom_site_fract_y
_atom_site_fract_z
_atom_site_occupancy
Al1 0.000 0.000 0.000 1
Sn1 0.500 0.500 0.500 1
As1 0.000 0.000 0.500 1
```

Of them, model P has the lowest stability.

Model P:
Below is a relaxed structure of Sr2AlAs2, with properties calculated at the PBE level.

Fermi-level density of states ... 2.5 states/eV/f.u.

Geometry as CIF:
```
data_Sr2AlAs2
_cell_length_a 7.670
_cell_length_b 7.670
_cell_length_c 4.562
_cell_angle_alpha 90.00
_cell_angle_beta 90.00
_cell_angle_gamma 90.00
_space_group_name_H-M_alt 'P 4/m b m'
_space_group_IT_number 127
_space_group_name_Hall '-P 4 2ab'
loop_
_atom_site_label
_atom_site_fract_x
_atom_site_fract_y
_atom_site_fract_z
_atom_site_occupancy
Sr1 0.179 0.321 0.000 1
Al1 0.000 0.000 0.500 1
As1 0.119 0.619 0.500 1
```

Model Q:
Below is a relaxed structure of Sr2AlAs2, with properties calculated at the PBE level.

Fermi-level density of states ... 2.8 states/eV/f.u.

Geometry as CIF:
```
data_Sr2AlAs2
_cell_length_a 9.276
_cell_length_b 12.989
_cell_length_c 6.478
_cell_angle_alpha 90.00
_cell_angle_beta 134.23
_cell_angle_gamma 90.00
_space_group_name_H-M_alt 'C 1 2/c 1'
_space_group_IT_number 15
_space_group_name_Hall '-C 2yc'
loop_
_atom_site_label
_atom_site_fract_x
_atom_site_fract_y
_atom_site_fract_z
_atom_site_occupancy
Sr1 0.186 0.144 0.186 1
Al1 0.000 0.500 0.250 1
As1 0.208 0.388 0.207 1
```

Of them, model P has the lowest stability.

Model P:
Below is a relaxed structure of Sr3Al2As4, with properties calculated at the PBE level.

Geometry as CIF:
```
data_Sr3Al2As4
_cell_length_a 7.231
_cell_length_b 16.268
_cell_length_c 4.254
_cell_angle_alpha 90.00
_cell_angle_beta 90.00
_cell_angle_gamma 90.00
_space_group_name_H-M_alt 'P n n m'
_space_group_IT_number 58
_space_group_name_Hall '-P 2 2n'
loop_
_atom_site_label
_atom_site_fract_x
_atom_site_fract_y
_atom_site_fract_z
_atom_site_occupancy
Sr1 0.000 0.000 0.000 1
Sr2 0.192 0.296 0.500 1
Al1 0.118 0.579 0.000 1
As1 0.226 0.433 0.000 1
As2 0.234 0.657 0.500 1
```

Model Q:
Below is a relaxed structure of Sr3Al2As4, with properties calculated at the PBE level.

Geometry as CIF:
```
data_Sr3Al2As4
_cell_length_a 13.633
_cell_length_b 10.545
_cell_length_c 6.880
_cell_angle_alpha 90.00
_cell_angle_beta 90.42
_cell_angle_gamma 90.00
_space_group_name_H-M_alt 'C 1 2/c 1'
_space_group_IT_number 15
_space_group_name_Hall '-C 2yc'
loop_
_atom_site_label
_atom_site_fract_x
_atom_site_fract_y
_atom_site_fract_z
_atom_site_occupancy
Sr1 0.000 0.098 0.250 1
Sr2 0.123 0.371 0.539 1
Al1 0.205 0.123 0.919 1
As1 0.116 0.324 0.024 1
As2 0.159 0.082 0.574 1
```

Of them, model P has the lowest stability.

Model P:
Below is a relaxed structure of AlTcAs, with properties calculated at the PBE level.

Fermi-level density of states ... 2.7 states/eV/f.u.

Geometry as CIF:
```
data_AlTcAs
_cell_length_a 5.897
_cell_length_b 5.897
_cell_length_c 5.897
_cell_angle_alpha 90.00
_cell_angle_beta 90.00
_cell_angle_gamma 90.00
_space_group_name_H-M_alt 'F -4 3 m'
_space_group_IT_number 216
_space_group_name_Hall 'F -4 2 3'
loop_
_atom_site_label
_atom_site_fract_x
_atom_site_fract_y
_atom_site_fract_z
_atom_site_occupancy
Al1 0.000 0.000 0.000 1
Tc1 0.000 0.000 0.500 1
As1 0.250 0.250 0.250 1
```

Model Q:
Below is a relaxed structure of AlTcAs, with properties calculated at the PBE level.

Fermi-level density of states ... 2.0 states/eV/f.u.

Geometry as CIF:
```
data_AlTcAs
_cell_length_a 4.3479
_cell_length_b 4.3479
_cell_length_c 18.7628
_cell_angle_alpha 90.00
_cell_angle_beta 90.00
_cell_angle_gamma 120.00
_space_group_name_H-M_alt 'R -3 m'
_space_group_IT_number 166
_space_group_name_Hall '-R 3 2"'
loop_
_atom_site_label
_atom_site_fract_x
_atom_site_fract_y
_atom_site_fract_z
_atom_site_occupancy
Al1 0.0000 0.0000 0.1298 1
Tc1 0.0000 0.0000 0.4362 1
As1 0.0000 0.0000 0.2875 1
```

Model R:
Below is a relaxed structure of AlTcAs, with properties calculated at the PBE level.

Fermi-level density of states ... 2.0 states/eV/f.u.

Geometry as CIF:
```
data_AlTcAs
_cell_length_a 3.272
_cell_length_b 3.272
_cell_length_c 8.336
_cell_angle_alpha 90.00
_cell_angle_beta 90.00
_cell_angle_gamma 90.00
_space_group_name_H-M_alt 'I 4 m m'
_space_group_IT_number 107
_space_group_name_Hall 'I 4 -2'
loop_
_atom_site_label
_atom_site_fract_x
_atom_site_fract_y
_atom_site_fract_z
_atom_site_occupancy
Al1 0.000 0.000 0.000 1
Tc1 0.000 0.000 0.334 1
As1 0.000 0.000 0.674 1
```

Model S:
Below is a relaxed structure of AlTcAs, with properties calculated at the PBE level.

Fermi-level density of states ... 1.5 states/eV/f.u.

Geometry as CIF:
```
data_AlTcAs
_cell_length_a 3.0576
_cell_length_b 3.0576
_cell_length_c 5.9502
_cell_angle_alpha 90.00
_cell_angle_beta 90.00
_cell_angle_gamma 120.00
_space_group_name_H-M_alt 'P 3 m 1'
_space_group_IT_number 156
_space_group_name_Hall 'P 3 -2"'
loop_
_atom_site_label
_atom_site_fract_x
_atom_site_fract_y
_atom_site_fract_z
_atom_site_occupancy
Al1 0.0000 0.0000 0.0000 1
Tc1 0.3333 0.6667 0.6742 1
As1 0.6667 0.3333 0.3778 1
```

Of them, model P has the lowest stability.